*w*
Here is an optimized crystal structure of Pm7Cd2Ir2 from Alexandria via LeMat-Bulk. Energies are from PBE.

The structure belongs to space group Cmmm (No. 65); the cell edges are 8.297, 11.173 and 7.331 Å and the angles 90.00°, 90.00° and 90.00°. The inequivalent atoms are Pm at (0.000, 0.000, 0.000), Pm at (0.000, 0.500, 0.244), Pm at (0.250, 0.250, 0.250), Cd at (0.173, 0.000, 0.500) and Ir at (0.000, 0.288, 0.000).

The calculation puts the calculated density at 7.94 g/cm³.

*x*
Here is an optimized crystal structure of Pm7Cd2Ir2 from Alexandria via LeMat-Bulk. Energies are from PBE.

The structure belongs to space group Imm2 (No. 44); the cell edges are 3.881, 15.648 and 10.621 Å and the angles 90.00°, 90.00° and 90.00°. The inequivalent atoms are Pm at (0.000, 0.000, 0.000), Pm at (0.000, 0.168, 0.500), Pm at (0.000, 0.346, 0.304), Pm at (0.000, 0.353, 0.699), Cd at (0.000, 0.000, 0.688), Cd at (0.000, 0.500, 0.941) and Ir at (0.000, 0.194, 0.008).

The calculation puts the calculated density at 8.36 g/cm³.

Energy comparison, zero being the most stable, in eV/atom: *w* 0.007; *x* 0.000.

*w*
Here is an optimized crystal structure of Pm6CdIr2 from Alexandria via LeMat-Bulk. Energies are from PBE.

The structure belongs to space group C2/m (No. 12); the cell edges are 12.375, 3.842 and 11.367 Å and the angles 90.00°, 91.12° and 90.00°. The inequivalent atoms are Pm at (0.065, 0.000, 0.275), Pm at (0.139, 0.500, 0.552), Pm at (0.180, 0.500, 0.866), Cd at (0.000, 0.000, 0.000) and Ir at (0.240, 0.500, 0.312).

The calculation puts the calculated density at 8.40 g/cm³.

*x*
Here is an optimized crystal structure of Pm6CdIr2 from Alexandria via LeMat-Bulk. Energies are from PBE.

The structure belongs to space group Immm (No. 71); the cell edges are 9.606, 9.878 and 10.714 Å and the angles 90.00°, 90.00° and 90.00°. The inequivalent atoms are Pm at (0.000, 0.202, 0.237), Pm at (0.190, 0.500, 0.171), Pm at (0.214, 0.320, 0.500), Cd at (0.000, 0.000, 0.000), Cd at (0.000, 0.000, 0.500), Ir at (0.000, 0.331, 0.000) and Ir at (0.000, 0.500, 0.371).

The calculation puts the calculated density at 8.93 g/cm³.

Energy comparison, zero being the most stable, in eV/atom: *w* 0.074; *x* 0.000.

*w*
Here is an optimized crystal structure of Pm3CdIr from Alexandria via LeMat-Bulk. Energies are from PBE.

The structure belongs to space group Pm-3m (No. 221); the cell edges are 5.519, 5.519 and 5.519 Å and the angles 90.00°, 90.00° and 90.00°. The inequivalent atoms are Pm at (0.000, 0.000, 0.500), Cd at (0.500, 0.500, 0.500) and Ir at (0.000, 0.000, 0.000).

The calculation puts the calculated density at 7.30 g/cm³.

*x*
Here is an optimized crystal structure of Pm3CdIr from Alexandria via LeMat-Bulk. Energies are from PBE.

The structure belongs to space group Cmmm (No. 65); the cell edges are 10.383, 14.734 and 4.070 Å and the angles 90.00°, 90.00° and 90.00°. The inequivalent atoms are Pm at (0.000, 0.180, 0.000), Pm at (0.199, 0.377, 0.500), Cd at (0.000, 0.000, 0.500), Cd at (0.000, 0.500, 0.000) and Ir at (0.250, 0.250, 0.000).

The calculation puts the calculated density at 7.89 g/cm³.

Energy comparison, zero being the most stable, in eV/atom: *w* 0.140; *x* 0.000.

*w*
Here is an optimized crystal structure of Pr8CdIr2 from Alexandria via LeMat-Bulk. Energies are from PBE.

The structure belongs to space group C2/m (No. 12); the cell edges are 15.444, 7.078 and 6.580 Å and the angles 90.00°, 97.67° and 90.00°. The inequivalent atoms are Pr at (0.073, 0.000, 0.340), Pr at (0.128, 0.255, 0.885), Pr at (0.203, 0.500, 0.376), Cd at (0.000, 0.500, 0.500) and Ir at (0.229, 0.000, 0.186).

The calculation puts the calculated density at 7.57 g/cm³.

*x*
Here is an optimized crystal structure of Pr8CdIr2 from Alexandria via LeMat-Bulk. Energies are from PBE.

The structure belongs to space group Cm (No. 8); the cell edges are 8.859, 13.993 and 5.780 Å and the angles 90.00°, 104.13° and 90.00°. The inequivalent atoms are Pr at (0.000, 0.000, 0.000), Pr at (0.101, 0.374, 0.760), Pr at (0.190, 0.126, 0.633), Pr at (0.291, 0.500, 0.393), Pr at (0.395, 0.248, 0.196), Cd at (0.396, 0.000, 0.196) and Ir at (0.395, 0.296, 0.697).

The calculation puts the calculated density at 7.76 g/cm³.

Energy comparison, zero being the most stable, in eV/atom: *w* 0.000; *x* 0.015.

*w*
Here is an optimized crystal structure of Pr3CdIr from Alexandria via LeMat-Bulk. Energies are from PBE.

The structure belongs to space group Pm-3m (No. 221); the cell edges are 5.600, 5.600 and 5.600 Å and the angles 90.00°, 90.00° and 90.00°. The inequivalent atoms are Pr at (0.000, 0.000, 0.500), Cd at (0.500, 0.500, 0.500) and Ir at (0.000, 0.000, 0.000).

The calculation puts the calculated density at 6.88 g/cm³.

*x*
Here is an optimized crystal structure of Pr3CdIr from Alexandria via LeMat-Bulk. Energies are from PBE.

The structure belongs to space group C2/m (No. 12); the cell edges are 10.096, 6.926 and 9.631 Å and the angles 90.00°, 121.54° and 90.00°. The inequivalent atoms are Pr at (0.082, 0.000, 0.281), Pr at (0.199, 0.500, 0.282), Pr at (0.202, 0.500, 0.904), Cd at (0.000, 0.298, 0.500) and Ir at (0.000, 0.251, 0.000).

The calculation puts the calculated density at 8.42 g/cm³.

Energy comparison, zero being the most stable, in eV/atom: *w* 0.186; *x* 0.000.